## FeRePb2 (PBE)

Data for crystalline FeRePb2 at its relaxed geometry.

## Properties
Total magnetization ... 2.995 μB/f.u.
SG ... C2/m, No. 12
Energy above the most stable polymorph in this dataset ... 601 meV/atom
Formation energy from the elements ... 1045 meV/atom

a b c (Å): 4.758 4.758 5.537
angles (deg): 100.67 100.67 40.21
Atoms (fractional coordinates):
Fe  0.000  0.000  0.000
Re  0.500  0.500  0.500
Pb  0.249  0.249  0.749
Pb  0.751  0.751  0.251